Material: KSrTc2
Method: DFT, PBE
State: optimized geometry

Results
The size of the total moment comes out at 0.00 μB/atom. For the formation energy, the calculation gives 3.480 eV per formula unit.

Lattice parameters (Å, degrees): 6.1394 6.1394 8.3854 119.92 119.92 35.00
With the nearest neighbours (Å) after each atom.
Fractional coordinates of all 4 atoms:
K  0.0000  0.0000  0.0000  4 Tc 3.58, 2 K 3.69
Sr  0.5000  0.5000  0.5000  6 Tc 3.18-3.37
Tc  0.2681  0.2681  0.5915  2 Tc 2.29
Tc  0.7319  0.7319  0.4085  2 Tc 2.29